Density functional theory data (PBE-GGA) for an optimized crystal structure of BeFeCoPb.

Geometry as POSCAR:
```
BeFeCoPb
1.0
0.000 2.963 2.963
2.963 0.000 2.963
2.963 2.963 0.000
Be Fe Co Pb
1 1 1 1
direct
0.000 0.000 0.000 Be
0.250 0.250 0.250 Fe
0.750 0.750 0.750 Co
0.500 0.500 0.500 Pb
```

Summary:
As for the total DFT energy (no corrections): -20.9 eV for the cell shown. The calculation puts the energy above the most stable polymorph in this dataset at 0.0 meV/atom.